Below is a relaxed Tb2PmPuSe4 crystal, with properties calculated at the PBE level.

```
8
Lattice="7.164 0.000 0.000 0.000 4.112 0.000 -2.353 0.000 6.776" Properties=species:S:1:pos:R:3 pbc="T T T"
Tb 0.000 0.000 0.000
Tb 3.582 2.056 0.000
Pm -1.177 2.056 3.388
Pu 2.405 0.000 3.388
Se 1.217 2.056 1.658
Se 0.042 0.000 5.129
Se 4.769 0.000 1.646
Se 3.593 2.056 5.118
```

N(E_F) = 9.5 states/eV/cell
M_tot = 5.93 μB per cell
Energy relative to the elements, uncorrected = -1749.0 meV per atom



Below is a relaxed ScNiBr2 crystal, with properties calculated at the PBE level.

```
8
Lattice="-2.967 2.967 5.543 2.967 -2.967 5.543 2.967 2.967 -5.543" Properties=species:S:1:pos:R:3 pbc="T T T"
Sc 0.000 0.000 0.000
Sc 0.000 2.967 2.771
Ni 2.967 0.000 2.771
Ni 0.000 0.000 5.543
Br 1.484 -1.249 4.157
Br 1.718 1.484 1.386
Br 1.484 4.216 -1.386
Br 1.249 1.484 6.928
```

N(E_F) = 3.2 states/eV/cell
M_tot = 1.85 μB per cell
Energy relative to the elements, uncorrected = -321.1 meV per atom
Energy relative to the lowest polymorph listed for this composition = 453 meV/atom



Below is a relaxed Te3MoRh crystal, with properties calculated at the PBE level.

```
5
Lattice="5.220 0.000 0.000 0.000 5.220 0.000 0.000 0.000 5.220" Properties=species:S:1:pos:R:3 pbc="T T T"
Te 0.000 0.000 2.610
Te 0.000 2.610 0.000
Te 2.610 0.000 0.000
Mo 0.000 0.000 0.000
Rh 2.610 2.610 2.610
```

N(E_F) = 5.4 states/eV/cell
M_tot = 0.65 μB per cell
Energy relative to the elements, uncorrected = 967.1 meV per atom
Energy relative to the lowest polymorph listed for this composition = 81 meV/atom



Below is a relaxed HgSb3Mo crystal, with properties calculated at the PBE level.

```
5
Lattice="5.486 0.000 0.000 0.000 5.486 0.000 0.000 0.000 5.486" Properties=species:S:1:pos:R:3 pbc="T T T"
Hg 0.000 0.000 0.000
Sb 0.000 0.000 2.743
Sb 0.000 2.743 0.000
Sb 2.743 0.000 0.000
Mo 2.743 2.743 2.743
```

N(E_F) = 4.2 states/eV/cell
M_tot = 3.55 μB per cell
Energy relative to the elements, uncorrected = 1467.2 meV per atom
Energy relative to the lowest polymorph listed for this composition = 1063 meV/atom



Below is a relaxed ZrC3 crystal, with properties calculated at the PBE level.

```
8
Lattice="2.351 -5.756 0.000 2.351 5.756 0.000 0.000 0.000 3.239" Properties=species:S:1:pos:R:3 pbc="T T T"
Zr 2.351 3.770 2.430
Zr 2.351 -3.770 0.810
C 1.657 1.306 2.430
C 2.351 1.946 0.810
C 1.657 -1.306 0.810
C 3.046 1.306 2.430
C 2.351 -1.946 2.430
C 3.046 -1.306 0.810
```

N(E_F) = 0.9 states/eV/cell
M_tot = 0.00 μB per cell
Energy of formation = 1.0220 eV/atom
Energy relative to the lowest polymorph listed for this composition = 761 meV/atom



Below is a relaxed YCd3N crystal, with properties calculated at the PBE level.

```
5
Lattice="4.760 0.000 0.000 0.000 4.760 0.000 0.000 0.000 4.760" Properties=species:S:1:pos:R:3 pbc="T T T"
Y 0.000 0.000 0.000
Cd 0.000 2.380 2.380
Cd 2.380 0.000 2.380
Cd 2.380 2.380 0.000
N 2.380 2.380 2.380
```

N(E_F) = 3.8 states/eV/cell
M_tot = 0.00 μB per cell
Energy relative to the elements, uncorrected = 449.5 meV per atom
Energy relative to the lowest polymorph listed for this composition = 0 meV/atom



Below is a relaxed TbErTiN3 crystal, with properties calculated at the PBE level.

```
12
Lattice="6.993 0.000 0.000 0.000 3.514 0.000 -1.158 0.000 7.801" Properties=species:S:1:pos:R:3 pbc="T T T"
Tb 0.975 0.879 1.189
Tb 4.860 2.636 6.612
Er 1.595 2.636 6.576
Er 4.240 0.879 1.224
Ti -0.030 0.879 4.706
Ti 5.865 2.636 3.095
N -0.282 0.879 6.654
N 0.622 2.636 4.185
N 2.627 2.636 1.049
N 3.208 0.879 6.752
N 5.213 0.879 3.616
N 6.117 2.636 1.147
```

N(E_F) = 3.3 states/eV/cell
M_tot = 0.00 μB per cell
Energy relative to the elements, uncorrected = -1378.3 meV per atom



Below is a relaxed GaIN2O crystal, with properties calculated at the PBE level.

```
5
Lattice="4.073 0.000 0.000 0.000 4.073 0.000 0.000 0.000 4.067" Properties=species:S:1:pos:R:3 pbc="T T T"
Ga 0.000 0.000 0.000
I 2.036 2.036 2.034
N 0.000 2.036 2.034
N 2.036 0.000 2.034
O 2.036 2.036 0.000
```

N(E_F) = 2.0 states/eV/cell
M_tot = 0.24 μB per cell
Energy relative to the elements, uncorrected = 1357.7 meV per atom



Below is a relaxed AlSbRu2 crystal, with properties calculated at the PBE level.

```
4
Lattice="4.721 -1.544 0.000 4.721 1.544 0.000 -1.307 0.000 4.305" Properties=species:S:1:pos:R:3 pbc="T T T"
Al 0.000 0.000 0.000
Sb 1.457 0.000 2.630
Ru 4.033 0.000 2.132
Ru 6.847 0.000 0.423
```

N(E_F) = 2.9 states/eV/cell
M_tot = 0.00 μB per cell
Energy relative to the elements, uncorrected = -233.6 meV per atom



Below is a relaxed FeHg3Au crystal, with properties calculated at the PBE level.

```
5
Lattice="5.106 0.000 0.000 0.000 5.106 0.000 0.000 0.000 5.106" Properties=species:S:1:pos:R:3 pbc="T T T"
Fe 0.000 0.000 0.000
Hg 0.000 0.000 2.553
Hg 0.000 2.553 0.000
Hg 2.553 0.000 0.000
Au 2.553 2.553 2.553
```

N(E_F) = 4.4 states/eV/cell
M_tot = 2.94 μB per cell
Energy of formation = 0.6177 eV/atom
Energy relative to the lowest polymorph listed for this composition = 0 meV/atom



Below is a relaxed SrHgMo crystal, with properties calculated at the PBE level.

```
3
Lattice="4.930 0.000 0.000 -2.465 4.269 0.000 0.000 0.000 3.901" Properties=species:S:1:pos:R:3 pbc="T T T"
Sr 0.000 0.000 0.000
Hg 2.465 1.423 1.951
Mo 0.000 2.846 1.951
```

N(E_F) = 2.9 states/eV/cell
M_tot = 2.84 μB per cell
Energy of formation = 0.6807 eV/atom
Energy relative to the lowest polymorph listed for this composition = 0 meV/atom



Below is a relaxed CaPm6Sm2Dy3 crystal, with properties calculated at the PBE level.

```
12
Lattice="3.151 -5.458 0.000 3.151 5.458 0.000 -2.086 0.000 11.798" Properties=species:S:1:pos:R:3 pbc="T T T"
Ca 0.000 0.000 0.000
Pm 1.078 1.850 3.007
Pm 0.040 0.000 8.782
Pm 1.078 -1.850 3.007
Pm 3.138 1.850 8.791
Pm 4.176 0.000 3.015
Pm 3.138 -1.850 8.791
Sm 3.151 1.822 0.000
Sm 3.151 -1.822 0.000
Dy 2.108 3.645 5.899
Dy 2.108 0.000 5.899
Dy 2.108 -3.645 5.899
```

N(E_F) = 14.2 states/eV/cell
M_tot = 0.00 μB per cell
Energy of formation = 0.0310 eV/atom



Below is a relaxed Zr2CrCl crystal, with properties calculated at the PBE level.

```
4
Lattice="2.911 -1.619 0.000 2.911 1.619 0.000 -2.005 0.000 8.126" Properties=species:S:1:pos:R:3 pbc="T T T"
Zr 0.685 0.000 2.223
Zr 3.132 0.000 5.903
Cr -1.002 0.000 4.063
Cl 2.911 0.000 0.000
```

N(E_F) = 2.3 states/eV/cell
M_tot = 0.00 μB per cell
Energy relative to the elements, uncorrected = -206.7 meV per atom
Energy relative to the lowest polymorph listed for this composition = 195 meV/atom



Below is a relaxed Na2LiCuBr5 crystal, with properties calculated at the PBE level.

```
18
Lattice="1.971 -10.251 0.000 1.971 10.251 0.000 0.000 0.000 12.260" Properties=species:S:1:pos:R:3 pbc="T T T"
Na 1.971 7.580 6.130
Na 1.971 6.914 10.460
Na 1.971 -6.914 4.330
Na 1.971 -7.580 0.000
Li 1.971 5.961 2.484
Li 1.971 -5.961 8.614
Cu 1.971 1.132 7.344
Cu 1.971 -1.132 1.215
Br 1.971 9.516 2.518
Br 1.971 3.995 10.355
Br 1.971 3.483 6.614
Br 1.971 3.379 2.180
Br 1.971 0.307 11.605
Br 1.971 -0.307 5.475
Br 1.971 -3.379 8.310
Br 1.971 -3.483 0.484
Br 1.971 -3.995 4.225
Br 1.971 -9.516 8.648
```

N(E_F) = 14.1 states/eV/cell
M_tot = 0.62 μB per cell
Energy relative to the elements, uncorrected = -1074.9 meV per atom



Below is a relaxed GeSbBr5 crystal, with properties calculated at the PBE level.

```
28
Lattice="8.179 0.000 0.000 0.000 13.872 0.000 -7.319 0.000 10.712" Properties=species:S:1:pos:R:3 pbc="T T T"
Ge -2.806 3.410 4.897
Ge -6.466 3.526 10.252
Ge 7.326 10.346 0.459
Ge 3.666 10.462 5.815
Sb -4.077 0.559 8.710
Sb -0.418 6.377 3.354
Sb 1.278 7.495 7.358
Sb 4.937 13.313 2.002
Br -4.649 7.795 8.522
Br -0.989 13.013 3.166
Br 0.021 9.157 2.549
Br -3.639 11.651 7.905
Br -2.254 1.420 6.276
Br 1.406 5.516 0.920
Br -1.538 7.078 5.642
Br 2.121 13.730 0.286
Br -4.011 3.312 9.476
Br -0.351 3.624 4.120
Br 1.211 10.248 6.591
Br 4.871 10.560 1.236
Br -1.261 0.142 10.426
Br 2.398 6.794 5.070
Br -0.546 8.356 9.791
Br 3.114 12.451 4.435
Br 4.498 2.221 2.807
Br 0.839 4.715 8.162
Br 1.849 0.859 7.545
Br 5.509 6.077 2.190
```

N(E_F) = 0.0 states/eV/cell
M_tot = 0.00 μB per cell
Energy relative to the elements, uncorrected = -562.4 meV per atom



Below is a relaxed Ti3CuSn crystal, with properties calculated at the PBE level.

```
5
Lattice="4.607 0.000 0.000 0.000 4.607 0.000 0.000 0.000 4.607" Properties=species:S:1:pos:R:3 pbc="T T T"
Ti 0.000 0.000 2.304
Ti 0.000 2.304 0.000
Ti 2.304 0.000 0.000
Cu 0.000 0.000 0.000
Sn 2.304 2.304 2.304
```

N(E_F) = 4.9 states/eV/cell
M_tot = 0.00 μB per cell
Energy of formation = 0.2617 eV/atom
Energy relative to the lowest polymorph listed for this composition = 233 meV/atom



Below is a relaxed BaVCr2 crystal, with properties calculated at the PBE level.

```
8
Lattice="-2.750 2.750 7.537 2.750 -2.750 7.537 2.750 2.750 -7.537" Properties=species:S:1:pos:R:3 pbc="T T T"
Ba 2.750 1.375 1.884
Ba 0.000 1.375 5.653
V 2.750 -1.375 5.653
V 0.000 4.125 1.884
Cr 0.000 0.000 0.000
Cr 1.375 1.375 -3.768
Cr 1.375 -1.375 3.768
Cr 0.000 2.750 0.000
```

N(E_F) = 6.5 states/eV/cell
M_tot = 9.94 μB per cell
Energy of formation = 1.1545 eV/atom
Energy relative to the lowest polymorph listed for this composition = 24 meV/atom



Below is a relaxed Li6SnAu2 crystal, with properties calculated at the PBE level.

```
18
Lattice="8.424 0.000 0.000 0.000 8.444 0.000 0.000 0.000 4.279" Properties=species:S:1:pos:R:3 pbc="T T T"
Li 0.070 1.469 0.000
Li 1.456 8.443 2.140
Li 1.481 2.814 2.140
Li 2.731 7.036 0.000
Li 2.755 4.221 0.000
Li 4.141 5.691 2.140
Li 4.282 2.753 2.140
Li 5.668 4.224 0.000
Li 5.693 1.408 0.000
Li 6.942 5.631 2.140
Li 6.967 0.002 2.140
Li 8.353 6.975 0.000
Sn 0.000 4.222 0.000
Sn 4.212 0.000 2.140
Au 1.396 5.697 2.140
Au 2.816 1.475 0.000
Au 5.607 6.969 0.000
Au 7.028 2.747 2.140
```

N(E_F) = 4.9 states/eV/cell
M_tot = 0.00 μB per cell
Energy of formation = -0.3871 eV/atom
Energy relative to the lowest polymorph listed for this composition = 16 meV/atom



Below is a relaxed AgAs2 crystal, with properties calculated at the PBE level.

```
6
Lattice="4.936 0.000 0.000 -2.468 4.274 0.000 0.000 0.000 5.676" Properties=species:S:1:pos:R:3 pbc="T T T"
Ag 0.000 0.000 1.419
Ag 0.000 0.000 4.257
As 0.000 2.850 0.154
As 0.000 2.850 2.684
As 2.468 1.425 2.992
As 2.468 1.425 5.522
```

N(E_F) = 2.1 states/eV/cell
M_tot = 0.00 μB per cell
Energy of formation = 0.2565 eV/atom



Below is a relaxed CdGeAs crystal, with properties calculated at the PBE level.

```
3
Lattice="4.509 0.000 0.000 -2.255 3.905 0.000 0.000 0.000 3.944" Properties=species:S:1:pos:R:3 pbc="T T T"
Cd 0.000 0.000 0.000
Ge 2.255 1.302 1.926
As 0.000 2.603 2.043
```

N(E_F) = 1.1 states/eV/cell
M_tot = 0.00 μB per cell
Energy of formation = 0.2936 eV/atom
Energy relative to the lowest polymorph listed for this composition = 244 meV/atom



| no. | mass density (g cm⁻³) |
| --- | --- |
| 1 | 8.5 |
| 2 | 4.5 |
| 3 | 6.8 |
| 4 | 6.7 |
| 5 | 4.8 |
| 6 | 6.8 |
| 7 | 7.2 |
| 8 | 5.9 |
| 9 | 9.3 |
| 10 | 10.7 |
| 11 | 7.8 |
| 12 | 6.9 |
| 13 | 5.8 |
| 14 | 3.5 |
| 15 | 3.2 |
| 16 | 5.5 |
| 17 | 4.3 |
| 18 | 6.0 |
| 19 | 7.1 |
| 20 | 6.2 |